1.
The following is a PBE calculation of a geometry-optimized BePdW structure, from Alexandria via LeMat-Bulk.

Cell lengths 5.7460, 3.0311, 9.1876 Å; angles 90.00, 90.00, 90.00 degrees
Closest atoms and distances in Å follow each position.
Element x y z (fractional)
W: 0.8682 0.2500 0.4257  2 W 2.54, 5 Be 2.61-2.82, 3 Pd 2.75-2.76
W: 0.1318 0.7500 0.5743  2 W 2.54, 5 Be 2.61-2.82, 3 Pd 2.75-2.76
W: 0.3682 0.2500 0.0743  2 W 2.54, 5 Be 2.61-2.82, 3 Pd 2.75-2.76
W: 0.6318 0.7500 0.9257  2 W 2.54, 5 Be 2.61-2.82, 3 Pd 2.75-2.76
Pd: 0.1058 0.7500 0.8847  4 Be 2.38-2.49
Pd: 0.8942 0.2500 0.1153  4 Be 2.38-2.49
Pd: 0.3942 0.2500 0.3847  4 Be 2.38-2.49
Pd: 0.6058 0.7500 0.6153  4 Be 2.38-2.49
Be: 0.1366 0.7500 0.2669  4 Pd 2.38-2.49, 2 W 2.61
Be: 0.6366 0.7500 0.2331  4 Pd 2.38-2.49, 2 W 2.61
Be: 0.3634 0.2500 0.7669  4 Pd 2.38-2.49, 2 W 2.61
Be: 0.8634 0.2500 0.7331  4 Pd 2.38-2.49, 2 W 2.61

E, eV per formula unit: -22.16
Energy of formation, eV/atom: -0.0950

2.
The following is a PBE calculation of a geometry-optimized Nd5Pb structure, from Alexandria via LeMat-Bulk.

Cell lengths 5.0251, 4.9919, 8.2633 Å; angles 107.58, 90.00, 90.00 degrees
Closest atoms and distances in Å follow each position.
Element x y z (fractional)
Pb: 0.0000 0.0000 0.0000  12 Nd 3.54-3.60
Nd: 0.5000 0.8363 0.6725  10 Nd 3.54-3.72, 2 Pb 3.60
Nd: 0.5000 0.5000 0.0000  4 Pb 3.54, 8 Nd 3.58-3.59
Nd: 0.0000 0.6621 0.3242  10 Nd 3.54-3.73, 2 Pb 3.57
Nd: 0.0000 0.3379 0.6758  10 Nd 3.54-3.73, 2 Pb 3.57
Nd: 0.5000 0.1637 0.3275  10 Nd 3.54-3.72, 2 Pb 3.60

E, eV per formula unit: -28.70
Energy of formation, eV/atom: -0.1921

3.
The following is a PBE calculation of a geometry-optimized KSc2Cd structure, from Alexandria via LeMat-Bulk.

Cell lengths 6.6566, 6.6566, 6.6566 Å; angles 149.86, 129.36, 60.07 degrees
Closest atoms and distances in Å follow each position.
Element x y z (fractional)
Sc: 0.7327 0.2327 0.5000  2 Cd 3.00, 2 Sc 3.32, 4 K 3.36
Sc: 0.9784 0.9784 0.0000  4 Sc 3.32-3.46, 4 Cd 3.37
K: 0.2691 0.7691 0.5000  6 Sc 3.36-3.73, 2 Cd 3.37, 2 K 3.46
Cd: 0.5198 0.5198 0.0000  2 Sc 3.00

E, eV per formula unit: -13.07
Energy of formation, eV/atom: 0.4004

4.
The following is a PBE calculation of a geometry-optimized PrY4In2 structure, from Alexandria via LeMat-Bulk.

Cell lengths 5.1232, 5.1232, 10.9503 Å; angles 76.47, 76.47, 60.00 degrees
Closest atoms and distances in Å follow each position.
Element x y z (fractional)
Y: 0.7034 0.7034 0.8899  4 In 3.09-3.23
Y: 0.8928 0.8928 0.3217  3 In 3.24, 3 Pr 3.50
Y: 0.1072 0.1072 0.6783  3 In 3.24, 3 Pr 3.50
Y: 0.2966 0.2966 0.1101  4 In 3.09-3.23
Pr: 0.5000 0.5000 0.5000  2 In 3.20, 6 Y 3.50
In: 0.3987 0.3987 0.8038  7 Y 3.09-3.24, 1 Pr 3.20
In: 0.6013 0.6013 0.1962  7 Y 3.09-3.24, 1 Pr 3.20

E, eV per formula unit: -36.06
Energy of formation, eV/atom: 0.0078

5.
The following is a PBE calculation of a geometry-optimized Sr3AlAg structure, from Alexandria via LeMat-Bulk.

Cell lengths 6.0046, 6.0046, 6.0046 Å; angles 90.00, 90.00, 90.00 degrees
Closest atoms and distances in Å follow each position.
Element x y z (fractional)
Sr: 0.0000 0.5000 0.0000  2 Ag 3.00
Sr: 0.5000 0.0000 0.0000  2 Ag 3.00
Sr: 0.0000 0.0000 0.5000  2 Ag 3.00
Al: 0.5000 0.5000 0.5000  12 Sr 4.25
Ag: 0.0000 0.0000 0.0000  6 Sr 3.00

E, eV per formula unit: -10.81
Energy of formation, eV/atom: 0.1664

6.
The following is a PBE calculation of a geometry-optimized YTm2Al9 structure, from Alexandria via LeMat-Bulk.

Cell lengths 5.5394, 5.5394, 9.3058 Å; angles 72.68, 72.68, 60.00 degrees
Closest atoms and distances in Å follow each position.
Element x y z (fractional)
Al: 0.9233 0.4125 0.2517  7 Al 2.70-2.83
Al: 0.6647 0.6647 0.0060  6 Al 2.70-2.74
Al: 0.5875 0.5875 0.7483  7 Al 2.70-2.83
Al: 0.4125 0.9233 0.2517  7 Al 2.70-2.83
Al: 0.5875 0.0767 0.7483  7 Al 2.70-2.83
Al: 0.4125 0.4125 0.2517  7 Al 2.70-2.83
Al: 0.3353 0.3353 0.9940  6 Al 2.70-2.74
Al: 0.5000 0.5000 0.5000  6 Al 2.72
Al: 0.0767 0.5875 0.7483  7 Al 2.70-2.83
Y: 0.0000 0.0000 0.0000  18 Al 3.20-3.54
Tm: 0.1425 0.1425 0.5726  12 Al 3.17-3.26, 3 Tm 3.44
Tm: 0.8575 0.8575 0.4274  12 Al 3.17-3.26, 3 Tm 3.44

E, eV per formula unit: -53.36
Energy of formation, eV/atom: -0.3562

7.
The following is a PBE calculation of a geometry-optimized CsV3H structure, from Alexandria via LeMat-Bulk.

Cell lengths 4.7904, 4.7904, 4.7904 Å; angles 90.00, 90.00, 90.00 degrees
Closest atoms and distances in Å follow each position.
Element x y z (fractional)
H: 0.5000 0.5000 0.5000  12 V 3.39
Cs: 0.0000 0.0000 0.0000  6 V 2.40
V: 0.0000 0.0000 0.5000  2 Cs 2.40
V: 0.5000 0.0000 0.0000  2 Cs 2.40
V: 0.0000 0.5000 0.0000  2 Cs 2.40

E, eV per formula unit: -15.30

8.
The following is a PBE calculation of a geometry-optimized CuGeP structure, from Alexandria via LeMat-Bulk.

Cell lengths 3.6328, 3.6328, 4.8645 Å; angles 90.00, 90.00, 120.00 degrees
Closest atoms and distances in Å follow each position.
Element x y z (fractional)
P: 0.6667 0.3333 0.5110  3 Cu 2.42, 3 Ge 2.47
Ge: 0.3333 0.6667 0.7777  2 Cu 2.35-2.51, 3 P 2.47
Cu: 0.3333 0.6667 0.2613  2 Ge 2.35-2.51, 3 P 2.42

E, eV per formula unit: -13.80
Energy of formation, eV/atom: 0.1081

9.
The following is a PBE calculation of a geometry-optimized SrAlPt structure, from Alexandria via LeMat-Bulk.

Cell lengths 4.9500, 4.9500, 4.9500 Å; angles 60.00, 60.00, 60.00 degrees
Closest atoms and distances in Å follow each position.
Element x y z (fractional)
Al: 0.0000 0.0000 0.0000  4 Sr 3.03
Sr: 0.2500 0.2500 0.2500  4 Pt 3.03, 4 Al 3.03
Pt: 0.5000 0.5000 0.5000  4 Sr 3.03

E, eV per formula unit: -10.56
Energy of formation, eV/atom: 0.3004

10.
The following is a PBE calculation of a geometry-optimized B2C structure, from Alexandria via LeMat-Bulk.

Cell lengths 2.5787, 2.2883, 13.9592 Å; angles 90.00, 90.00, 90.00 degrees
Closest atoms and distances in Å follow each position.
Element x y z (fractional)
C: 0.5000 0.5000 0.8463  4 B 1.59-1.66
C: 0.0000 0.0000 0.0079  2 C 1.44
C: 0.0000 0.0000 0.3137  4 B 1.60-1.66
C: 0.0000 0.5000 0.0703  2 C 1.44
B: 0.5000 0.0000 0.5883  4 B 1.78-1.81
B: 0.5000 0.5000 0.4906  4 B 1.78-1.81
B: 0.5000 0.0000 0.9328  4 C 1.66
B: 0.0000 0.0000 0.6789  4 B 1.81
B: 0.0000 0.5000 0.7795  2 C 1.59
B: 0.0000 0.5000 0.4000  2 C 1.66, 2 B 1.81
B: 0.5000 0.5000 0.1454  2 C 1.66, 2 B 1.82
B: 0.5000 0.0000 0.2464  2 C 1.60

E, eV per formula unit: -21.35
Energy of formation, eV/atom: 0.4081

11.
The following is a PBE calculation of a geometry-optimized SrMg2Cd4Hg structure, from Alexandria via LeMat-Bulk.

Cell lengths 4.8907, 4.8907, 10.3390 Å; angles 76.32, 76.32, 60.00 degrees
Closest atoms and distances in Å follow each position.
Element x y z (fractional)
Cd: 0.8749 0.8749 0.3753  3 Mg 3.01, 3 Hg 3.08
Cd: 0.3962 0.3962 0.8114  3 Mg 2.94, 1 Hg 3.10
Cd: 0.6038 0.6038 0.1886  3 Mg 2.94, 1 Hg 3.10
Cd: 0.1251 0.1251 0.6247  3 Mg 3.01, 3 Hg 3.08
Sr: 0.0000 0.0000 0.0000  8 Cd 3.39-3.73
Mg: 0.7564 0.7564 0.7308  6 Cd 2.94-3.01
Mg: 0.2436 0.2436 0.2692  6 Cd 2.94-3.01
Hg: 0.5000 0.5000 0.5000  8 Cd 3.08-3.10

E, eV per formula unit: -9.88
Energy of formation, eV/atom: -0.1305

12.
The following is a PBE calculation of a geometry-optimized Rb2GaFeIr structure, from Alexandria via LeMat-Bulk.

Cell lengths 6.5830, 4.4987, 6.5830 Å; angles 90.00, 90.00, 90.00 degrees
Closest atoms and distances in Å follow each position.
Element x y z (fractional)
Fe: 0.0000 0.5000 0.0000  2 Ir 2.25
Ir: 0.0000 0.0000 0.0000  2 Fe 2.25
Rb: 0.0000 0.0000 0.5000  2 Ir 3.29
Rb: 0.5000 0.0000 0.0000  2 Ir 3.29
Ga: 0.5000 0.5000 0.5000  8 Rb 3.99

E, eV per formula unit: -17.31
Energy of formation, eV/atom: 0.9947